Density functional theory data (GGA-PBE) for a relaxed CaP2Ir crystal.

ΔH_f (0 K) (kJ/mol of formula units): -80
Volume (A^3/atom): 16.5
N(E_F) (states/eV/f.u.): 1.89
Total moment (μB per formula unit): 0.0
Excess energy over the best structure of this formula in the dataset (meV per atom): 573
Uncorrected energy (eV/atom): -5.627

a b c (Å): 6.414 6.414 6.414
angles (deg): 90.00 90.00 90.00
Space group Fm-3m (No. 225)
Unique sites:
Ca1 0.000 0.000 0.000 [4 per cell]
P1 0.250 0.250 0.250 [8 per cell]
Ir1 0.000 0.000 0.500 [4 per cell]

***

Density functional theory data (GGA-PBE) for a relaxed CaPIr3 crystal.

ΔH_f (0 K) (kJ/mol of formula units): 1249
Volume (A^3/atom): 21.7
N(E_F) (states/eV/f.u.): 7.65
Total moment (μB per formula unit): 1.5
Excess energy over the best structure of this formula in the dataset (meV per atom): 2706
Uncorrected energy (eV/atom): -4.209

a b c (Å): 4.769 4.769 4.769
angles (deg): 90.00 90.00 90.00
Space group Pm-3m (No. 221)
Unique sites:
Ca1 0.000 0.000 0.000 [1 per cell]
P1 0.500 0.500 0.500 [1 per cell]
Ir1 0.000 0.000 0.500 [3 per cell]

***

Density functional theory data (GGA-PBE) for a relaxed CaPIr2 crystal.

ΔH_f (0 K) (kJ/mol of formula units): 102
Volume (A^3/atom): 16.8
N(E_F) (states/eV/f.u.): 5.92
Total moment (μB per formula unit): 0.6
Uncorrected energy (eV/atom): -6.018

a b c (Å): 6.451 6.451 6.451
angles (deg): 90.00 90.00 90.00
Space group F-43m (No. 216)
Unique sites:
Ca1 0.000 0.000 0.000 [4 per cell]
P1 0.250 0.250 0.250 [4 per cell]
Ir1 0.000 0.000 0.500 [4 per cell]
Ir2 0.250 0.250 0.750 [4 per cell]

***

Density functional theory data (GGA-PBE) for a relaxed Ca2P2Ir crystal.

ΔH_f (0 K) (kJ/mol of formula units): -407
Volume (A^3/atom): 18.3
N(E_F) (states/eV/f.u.): 2.84
Total moment (μB per formula unit): 0.0
Excess energy over the best structure of this formula in the dataset (meV per atom): 105
Uncorrected energy (eV/atom): -5.581

a b c (Å): 6.383 6.383 4.484
angles (deg): 90.00 90.00 90.00
Space group P4/mbm (No. 127)
Unique sites:
Ca1 0.175 0.325 0.000 [4 per cell]
P1 0.135 0.635 0.500 [4 per cell]
Ir1 0.000 0.000 0.500 [2 per cell]

***

Density functional theory data (GGA-PBE) for a relaxed CaP2Ir crystal.

ΔH_f (0 K) (kJ/mol of formula units): -301
Volume (A^3/atom): 18.0
N(E_F) (states/eV/f.u.): 1.19
Total moment (μB per formula unit): 0.0
Excess energy over the best structure of this formula in the dataset (meV per atom): 0
Uncorrected energy (eV/atom): -6.200

a b c (Å): 6.825 3.927 5.821
angles (deg): 90.00 112.84 90.00
Space group C2/m (No. 12)
Unique sites:
Ca1 0.000 0.000 0.000 [2 per cell]
P1 0.222 0.000 0.666 [4 per cell]
Ir1 0.000 0.500 0.500 [2 per cell]

***

Density functional theory data (GGA-PBE) for a relaxed CaPIr2 crystal.

ΔH_f (0 K) (kJ/mol of formula units): 35
Volume (A^3/atom): 16.4
N(E_F) (states/eV/f.u.): 4.35
Total moment (μB per formula unit): 0.0
Uncorrected energy (eV/atom): -6.192

a b c (Å): 2.913 4.737 4.747
angles (deg): 90.00 90.00 90.00
Space group Pmmm (No. 47)
Unique sites:
Ca1 0.000 0.000 0.000 [1 per cell]
P1 0.500 0.000 0.500 [1 per cell]
Ir1 0.000 0.500 0.500 [1 per cell]
Ir2 0.500 0.500 0.000 [1 per cell]

***

Density functional theory data (GGA-PBE) for a relaxed CaP3Ir6 crystal.

ΔH_f (0 K) (kJ/mol of formula units): -427
Volume (A^3/atom): 15.5
N(E_F) (states/eV/f.u.): 4.53
Total moment (μB per formula unit): 0.0
Uncorrected energy (eV/atom): -7.583

a b c (Å): 5.496 5.510 6.112
angles (deg): 76.07 89.07 60.33
Space group P1 (No. 1)
Unique sites:
Ca1 0.000 0.000 0.000 [1 per cell]
P1 0.083 0.842 0.488 [1 per cell]
P2 0.350 0.305 0.088 [1 per cell]
P3 0.682 0.646 0.095 [1 per cell]
Ir1 0.067 0.292 0.397 [1 per cell]
Ir2 0.463 0.072 0.794 [1 per cell]
Ir3 0.471 0.576 0.794 [1 per cell]
Ir4 0.486 0.451 0.381 [1 per cell]
Ir5 0.638 0.878 0.387 [1 per cell]
Ir6 0.967 0.567 0.802 [1 per cell]

***

Density functional theory data (GGA-PBE) for a relaxed Ca2P2Ir crystal.

ΔH_f (0 K) (kJ/mol of formula units): -458
Volume (A^3/atom): 21.1
N(E_F) (states/eV/f.u.): 2.77
Total moment (μB per formula unit): 0.0
Excess energy over the best structure of this formula in the dataset (meV per atom): 0
Uncorrected energy (eV/atom): -5.686

a b c (Å): 10.952 3.927 10.502
angles (deg): 90.00 110.81 90.00
Space group C2/m (No. 12)
Unique sites:
Ca1 0.092 0.000 0.404 [4 per cell]
Ca2 0.199 0.500 0.144 [4 per cell]
P1 0.035 0.000 0.912 [4 per cell]
P2 0.150 0.500 0.641 [4 per cell]
Ir1 0.070 0.500 0.819 [4 per cell]

***

Density functional theory data (GGA-PBE) for a relaxed Ca4P7Ir8 crystal.

ΔH_f (0 K) (kJ/mol of formula units): -1618
Volume (A^3/atom): 17.2
N(E_F) (states/eV/f.u.): 7.55
Total moment (μB per formula unit): 0.0
Uncorrected energy (eV/atom): -7.028

a b c (Å): 12.648 3.973 13.169
angles (deg): 90.00 98.96 90.00
Space group P2_1/m (No. 11)
Unique sites:
Ca1 0.015 0.250 0.208 [2 per cell]
Ca2 0.217 0.750 0.606 [2 per cell]
Ca3 0.286 0.750 0.934 [2 per cell]
Ca4 0.397 0.750 0.292 [2 per cell]
P1 0.028 0.250 0.628 [2 per cell]
P2 0.110 0.250 0.938 [2 per cell]
P3 0.191 0.750 0.189 [2 per cell]
P4 0.242 0.250 0.421 [2 per cell]
P5 0.344 0.250 0.781 [2 per cell]
P6 0.409 0.250 0.088 [2 per cell]
P7 0.444 0.750 0.600 [2 per cell]
Ir1 0.054 0.250 0.452 [2 per cell]
Ir2 0.077 0.750 0.027 [2 per cell]
Ir3 0.161 0.750 0.359 [2 per cell]
Ir4 0.162 0.250 0.773 [2 per cell]
Ir5 0.229 0.250 0.105 [2 per cell]
Ir6 0.417 0.250 0.501 [2 per cell]
Ir7 0.438 0.750 0.774 [2 per cell]
Ir8 0.485 0.250 0.925 [2 per cell]

***

Density functional theory data (GGA-PBE) for a relaxed CaPIr2 crystal.

ΔH_f (0 K) (kJ/mol of formula units): -71
Volume (A^3/atom): 16.7
N(E_F) (states/eV/f.u.): 3.36
Total moment (μB per formula unit): 0.0
Uncorrected energy (eV/atom): -6.468

a b c (Å): 2.991 4.921 9.053
angles (deg): 90.00 90.00 90.00
Space group Immm (No. 71)
Unique sites:
Ca1 0.000 0.000 0.000 [2 per cell]
P1 0.000 0.000 0.500 [2 per cell]
Ir1 0.000 0.500 0.201 [4 per cell]

***

Density functional theory data (GGA-PBE) for a relaxed CaP2Ir crystal.

ΔH_f (0 K) (kJ/mol of formula units): -167
Volume (A^3/atom): 18.8
N(E_F) (states/eV/f.u.): 1.83
Total moment (μB per formula unit): 0.0
Excess energy over the best structure of this formula in the dataset (meV per atom): 348
Uncorrected energy (eV/atom): -5.852

a b c (Å): 8.494 3.559 5.180
angles (deg): 90.00 106.50 90.00
Space group Cm (No. 8)
Unique sites:
Ca1 0.000 0.000 0.000 [2 per cell]
P1 0.012 0.500 0.515 [2 per cell]
P2 0.280 0.500 0.337 [2 per cell]
Ir1 0.228 0.000 0.593 [2 per cell]

***

Density functional theory data (GGA-PBE) for a relaxed CaPIr2 crystal.

ΔH_f (0 K) (kJ/mol of formula units): -68
Volume (A^3/atom): 17.2
N(E_F) (states/eV/f.u.): 2.89
Total moment (μB per formula unit): 0.0
Uncorrected energy (eV/atom): -6.459

a b c (Å): 2.900 3.831 6.200
angles (deg): 90.00 90.00 90.00
Space group Pmm2 (No. 25)
Unique sites:
Ca1 0.000 0.000 0.000 [1 per cell]
P1 0.500 0.500 0.668 [1 per cell]
Ir1 0.000 0.000 0.524 [1 per cell]
Ir2 0.500 0.500 0.297 [1 per cell]